1.
LaSiSe2: relaxed, GGA-PBE.

Results
Symmetry: No. 119
Raw formation energy (eV/atom): -0.814
Mass density (g/cm³): 5.73

abc: 6.2120 6.2120 6.2120
angles: 141.00 141.00 56.34
Fractional coordinates of all 4 atoms:
1 Se 0.0000 0.0000 0.0000
2 Se 0.2500 0.7500 0.5000
3 Si 0.5000 0.5000 0.0000
4 La 0.7500 0.2500 0.5000


2.
La4SiSe: relaxed, GGA-PBE.

Results
Symmetry: No. 216
Raw formation energy (eV/atom): 0.052
Mass density (g/cm³): 6.23

abc: 6.2992 6.2992 6.2992
angles: 60.00 60.00 60.00
Fractional coordinates of all 6 atoms:
1 Se 0.7500 0.7500 0.7500
2 Si 0.0000 0.0000 0.0000
3 La 0.3738 0.8786 0.3738
4 La 0.3738 0.3738 0.3738
5 La 0.8786 0.3738 0.3738
6 La 0.3738 0.3738 0.8786


3.
LaSiSe4: relaxed, GGA-PBE.

Results
Symmetry: No. 15
Raw formation energy (eV/atom): -0.902
Mass density (g/cm³): 4.53

abc: 6.3224 6.3224 9.3515
angles: 83.76 83.76 72.78
Fractional coordinates of all 12 atoms:
1 La 0.0000 0.5000 0.0000
2 La 0.5000 0.0000 0.5000
3 Se 0.3542 0.7308 0.0357
4 Se 0.8218 0.8066 0.7338
5 Se 0.2692 0.6458 0.4643
6 Se 0.1782 0.1934 0.2662
7 Se 0.1934 0.1782 0.7662
8 Se 0.6458 0.2692 0.9643
9 Se 0.8066 0.8218 0.2338
10 Se 0.7308 0.3542 0.5357
11 Si 0.1604 0.8396 0.2500
12 Si 0.8396 0.1604 0.7500